Computed, not measured: CsSr2Bi after structural relaxation at the PBE level of DFT.

Summary:
Fermi-level density of states: 6.09 states/eV/cell
Total energy: -2.28 eV/atom
Size of the total moment: 0.00 μB per formula unit
Calculated formation energy: -0.2567 eV per atom

abc: 10.885 10.885 7.995
angles: 90.00 90.00 90.00
Space group I-42d (No. 122)
One atom of each set of equivalent atoms:
Cs 0.000 0.000 0.000 (multiplicity 4)
Sr 0.154 0.750 0.625 (multiplicity 8)
Bi 0.000 0.000 0.500 (multiplicity 4)

Computed, not measured: Cs3SrBi after structural relaxation at the PBE level of DFT.

Summary:
Energy above the lowest structure with this stoichiometry: 0 kJ/mol of formula units
Fermi-level density of states: 3.23 states/eV/cell
Total energy: -1.59 eV/atom
Size of the total moment: 0.00 μB per formula unit
Calculated formation energy: 0.0372 eV per atom

abc: 7.613 7.613 7.613
angles: 90.00 90.00 90.00
Space group Pm-3m (No. 221)
One atom of each set of equivalent atoms:
Cs 0.000 0.000 0.500 (multiplicity 3)
Sr 0.500 0.500 0.500 (multiplicity 1)
Bi 0.000 0.000 0.000 (multiplicity 1)

Computed, not measured: CsTa3Bi after structural relaxation at the PBE level of DFT.

Summary:
Energy above the lowest structure with this stoichiometry: 0 kJ/mol of formula units
Fermi-level density of states: 8.87 states/eV/cell
Total energy: -5.62 eV/atom
Size of the total moment: 0.00 μB per formula unit
Calculated formation energy: 2.4379 eV per atom

abc: 5.381 5.381 5.381
angles: 90.00 90.00 90.00
Space group Pm-3m (No. 221)
One atom of each set of equivalent atoms:
Cs 0.000 0.000 0.000 (multiplicity 1)
Ta 0.000 0.500 0.500 (multiplicity 3)
Bi 0.500 0.500 0.500 (multiplicity 1)